[1]
Compound: CaGe2Ir
Source: the Alexandria database
Functional: PBE
Structure: relaxed

Values from the calculation:
uncorrected energy	-88.82	eV/cell
ΔE_f	-0.527	eV per atom
total magnetization	0.00	μB per formula unit

Cell and atoms, written as CIF:
```
data_CaGe2Ir
_chemical_formula_sum 'Ca4 Ge8 Ir4'
_symmetry_space_group_name_H-M 'P 1'
_symmetry_Int_Tables_number 1
_cell_length_a 7.138
_cell_length_b 4.325
_cell_length_c 10.446
_cell_angle_alpha 90.00
_cell_angle_beta 90.00
_cell_angle_gamma 90.00
loop_
_symmetry_equiv_pos_as_xyz
'x,y,z'
loop_
_atom_site_label
_atom_site_type_symbol
_atom_site_fract_x
_atom_site_fract_y
_atom_site_fract_z
_atom_site_occupancy
Ca1 Ca 0.171 0.250 0.127 1
Ca2 Ca 0.329 0.750 0.627 1
Ca3 Ca 0.671 0.250 0.373 1
Ca4 Ca 0.829 0.750 0.873 1
Ge1 Ge 0.130 0.250 0.825 1
Ge2 Ge 0.185 0.250 0.420 1
Ge3 Ge 0.315 0.750 0.920 1
Ge4 Ge 0.370 0.750 0.325 1
Ge5 Ge 0.630 0.250 0.675 1
Ge6 Ge 0.685 0.250 0.080 1
Ge7 Ge 0.815 0.750 0.580 1
Ge8 Ge 0.870 0.750 0.175 1
Ir1 Ir 0.006 0.750 0.388 1
Ir2 Ir 0.494 0.250 0.888 1
Ir3 Ir 0.506 0.750 0.112 1
Ir4 Ir 0.994 0.250 0.612 1
```

[2]
Compound: CaGe2Ir
Source: the Alexandria database
Functional: PBE
Structure: relaxed

Values from the calculation:
uncorrected energy	-42.02	eV/cell
ΔE_f	-0.228	eV per atom
total magnetization	0.00	μB per formula unit

Cell and atoms, written as CIF:
```
data_CaGe2Ir
_chemical_formula_sum 'Ca2 Ge4 Ir2'
_symmetry_space_group_name_H-M 'P 1'
_symmetry_Int_Tables_number 1
_cell_length_a 8.937
_cell_length_b 8.937
_cell_length_c 8.937
_cell_angle_alpha 148.72
_cell_angle_beta 148.72
_cell_angle_gamma 44.83
loop_
_symmetry_equiv_pos_as_xyz
'x,y,z'
loop_
_atom_site_label
_atom_site_type_symbol
_atom_site_fract_x
_atom_site_fract_y
_atom_site_fract_z
_atom_site_occupancy
Ca1 Ca 0.000 0.000 0.000 1
Ca2 Ca 0.750 0.250 0.500 1
Ge1 Ge 0.292 0.625 0.167 1
Ge2 Ge 0.375 0.542 0.667 1
Ge3 Ge 0.458 0.125 0.833 1
Ge4 Ge 0.875 0.708 0.333 1
Ir1 Ir 0.250 0.750 0.500 1
Ir2 Ir 0.500 0.500 0.000 1
```